P.
# LaPm2Ge | the Alexandria database | PBE | optimized geometry
data_LaPm2Ge
_cell_length_a 4.1038
_cell_length_b 4.1038
_cell_length_c 9.6109
_cell_angle_alpha 77.67
_cell_angle_beta 77.67
_cell_angle_gamma 60.00
_symmetry_space_group_name_H-M 'P 1'
_symmetry_Int_Tables_number 1
loop_
_symmetry_equiv_pos_as_xyz
'x,y,z'
loop_
_atom_site_label
_atom_site_fract_x
_atom_site_fract_y
_atom_site_fract_z
Pm1 0.2724 0.2724 0.1829
La1 0.5018 0.5018 0.4946
Pm2 0.0603 0.0603 0.8192
Ge1 0.6656 0.6656 0.0032
# ρ ... 6.1 g cm⁻³
# DOS at the Fermi energy ... 4.91 states/eV/f.u.
# V ... 33.96 Å³/atom

Q.
# LaPm2Ge | the Alexandria database | PBE | optimized geometry
data_LaPm2Ge
_cell_length_a 3.7323
_cell_length_b 3.7323
_cell_length_c 11.3260
_cell_angle_alpha 80.52
_cell_angle_beta 80.52
_cell_angle_gamma 60.00
_symmetry_space_group_name_H-M 'P 1'
_symmetry_Int_Tables_number 1
loop_
_symmetry_equiv_pos_as_xyz
'x,y,z'
loop_
_atom_site_label
_atom_site_fract_x
_atom_site_fract_y
_atom_site_fract_z
Pm1 0.1072 0.1072 0.6785
Ge1 0.5000 0.5000 0.5000
Pm2 0.8928 0.8928 0.3215
La1 0.0000 0.0000 0.0000
# ρ ... 6.2 g cm⁻³
# DOS at the Fermi energy ... 6.04 states/eV/f.u.
# V ... 33.54 Å³/atom

Of them, P has the highest stability.

P.
# La2PmGe | the Alexandria database | PBE | optimized geometry
data_La2PmGe
_cell_length_a 4.0602
_cell_length_b 4.0602
_cell_length_c 7.4109
_cell_angle_alpha 90.00
_cell_angle_beta 90.00
_cell_angle_gamma 90.00
_symmetry_space_group_name_H-M 'P 1'
_symmetry_Int_Tables_number 1
loop_
_symmetry_equiv_pos_as_xyz
'x,y,z'
loop_
_atom_site_label
_atom_site_fract_x
_atom_site_fract_y
_atom_site_fract_z
Pm1 0.5000 0.5000 0.0000
La1 0.0000 0.0000 0.7027
La2 0.0000 0.0000 0.2973
Ge1 0.5000 0.5000 0.5000
# ρ ... 6.7 g cm⁻³
# DOS at the Fermi energy ... 6.04 states/eV/f.u.
# V ... 30.54 Å³/atom

Q.
# La2PmGe | the Alexandria database | PBE | optimized geometry
data_La2PmGe
_cell_length_a 4.2165
_cell_length_b 6.6369
_cell_length_c 9.6028
_cell_angle_alpha 90.00
_cell_angle_beta 90.00
_cell_angle_gamma 108.56
_symmetry_space_group_name_H-M 'P 1'
_symmetry_Int_Tables_number 1
loop_
_symmetry_equiv_pos_as_xyz
'x,y,z'
loop_
_atom_site_label
_atom_site_fract_x
_atom_site_fract_y
_atom_site_fract_z
La1 0.1441 0.2893 0.4443
La2 0.8559 0.7107 0.5557
Ge1 0.2437 0.4864 0.7500
La3 0.8559 0.7107 0.9443
La4 0.1441 0.2893 0.0557
Ge2 0.7563 0.5136 0.2500
Pm1 0.5706 0.1405 0.7500
Pm2 0.4294 0.8595 0.2500
# ρ ... 6.5 g cm⁻³
# DOS at the Fermi energy ... 5.28 states/eV/f.u.
# V ... 31.84 Å³/atom

R.
# La2PmGe | the Alexandria database | PBE | optimized geometry
data_La2PmGe
_cell_length_a 4.1436
_cell_length_b 4.1436
_cell_length_c 9.7555
_cell_angle_alpha 77.74
_cell_angle_beta 77.74
_cell_angle_gamma 60.00
_symmetry_space_group_name_H-M 'P 1'
_symmetry_Int_Tables_number 1
loop_
_symmetry_equiv_pos_as_xyz
'x,y,z'
loop_
_atom_site_label
_atom_site_fract_x
_atom_site_fract_y
_atom_site_fract_z
Ge1 0.6661 0.6661 0.0016
Pm1 0.5006 0.5006 0.4981
La1 0.2698 0.2698 0.1905
La2 0.0634 0.0634 0.8097
# ρ ... 5.9 g cm⁻³
# DOS at the Fermi energy ... 6.71 states/eV/f.u.
# V ... 35.16 Å³/atom

Of them, Q has the highest stability.